# 1
Here is a PBEsol-optimized structure of Co2CuRh from Alexandria. Energies are from SCAN.

Fermi-level density of states ... 2.8 states/eV/cell
Final energy ... -83.1 eV for the cell shown
Formation enthalpy at 0 K ... 0.12 eV/atom
Space-group type ... Pm, No. 6
Size of the total moment ... 4.6 μB per cell

```
4
Lattice="2.539 0.000 0.000 0.000 3.892 0.000 -1.277 0.000 4.726" Properties=species:S:1:pos:R:3 pbc="T T T"
Co 0.000 0.000 0.000
Co 0.002 1.946 1.200
Cu 1.269 0.000 2.247
Rh -0.007 1.946 3.652
```

=====

# 2
Here is a PBEsol-optimized structure of CoCu2Rh from Alexandria. Energies are from SCAN.

Fermi-level density of states ... 7.2 states/eV/cell
Final energy ... -243.6 eV for the cell shown
Formation enthalpy at 0 K ... 0.07 eV/atom
Space-group type ... R3m, No. 160
Size of the total moment ... 7.4 μB per cell

```
12
Lattice="2.578 0.000 0.000 -1.289 2.232 0.000 0.000 0.000 24.740" Properties=species:S:1:pos:R:3 pbc="T T T"
Co 0.000 0.000 0.000
Co 0.000 1.488 16.493
Co 1.289 0.744 8.247
Cu 0.000 0.000 12.287
Cu 0.000 0.000 18.513
Cu 0.000 1.488 4.041
Cu 0.000 1.488 10.267
Cu 1.289 0.744 2.020
Cu 1.289 0.744 20.534
Rh 0.000 0.000 6.212
Rh 0.000 1.488 22.706
Rh 1.289 0.744 14.459
```

=====

# 3
Here is a PBEsol-optimized structure of CoCuRh2Se from Alexandria. Energies are from SCAN.

Fermi-level density of states ... 4.6 states/eV/cell
Raw formation energy ... 0.9913 eV per atom
Final energy ... -115.2 eV for the cell shown
Space-group type ... P4/mmm, No. 123
Size of the total moment ... 3.7 μB per cell

```
5
Lattice="4.411 0.000 0.000 0.000 4.411 0.000 0.000 0.000 4.256" Properties=species:S:1:pos:R:3 pbc="T T T"
Co 0.000 0.000 0.000
Cu 0.000 0.000 2.128
Rh 0.000 2.205 0.000
Rh 2.205 0.000 0.000
Se 2.205 2.205 2.128
```

=====

# 4
Here is a PBEsol-optimized structure of Co2CuRu from Alexandria. Energies are from SCAN.

Fermi-level density of states ... 1.8 states/eV/cell
Final energy ... -84.0 eV for the cell shown
Formation enthalpy at 0 K ... 0.16 eV/atom
Space-group type ... P4/mmm, No. 123
Size of the total moment ... 5.6 μB per cell

```
4
Lattice="3.631 0.000 0.000 0.000 3.631 0.000 0.000 0.000 3.505" Properties=species:S:1:pos:R:3 pbc="T T T"
Co 0.000 1.815 0.000
Co 1.815 0.000 0.000
Cu 0.000 0.000 1.753
Ru 1.815 1.815 1.753
```

=====

# 5
Here is a PBEsol-optimized structure of CoCuRu2 from Alexandria. Energies are from SCAN.

Fermi-level density of states ... 4.5 states/eV/cell
Final energy ... -100.9 eV for the cell shown
Formation enthalpy at 0 K ... 0.32 eV/atom
Space-group type ... P4/mmm, No. 123
Size of the total moment ... 1.5 μB per cell

```
4
Lattice="2.568 0.000 0.000 0.000 2.568 0.000 0.000 0.000 7.344" Properties=species:S:1:pos:R:3 pbc="T T T"
Co 0.000 0.000 0.000
Cu 0.000 0.000 3.672
Ru 1.284 1.284 1.756
Ru 1.284 1.284 5.588
```

=====

# 6
Here is a PBEsol-optimized structure of Co2CuRu from Alexandria. Energies are from SCAN.

Fermi-level density of states ... 7.3 states/eV/cell
Final energy ... -167.2 eV for the cell shown
Formation enthalpy at 0 K ... 0.25 eV/atom
Space-group type ... Cmm2, No. 35
Size of the total moment ... 9.6 μB per cell

```
8
Lattice="2.664 0.000 0.000 0.000 4.197 0.000 0.000 0.000 8.426" Properties=species:S:1:pos:R:3 pbc="T T T"
Co 0.000 0.000 0.000
Co 0.000 2.098 1.948
Co 1.332 0.000 1.948
Co 1.332 2.098 0.000
Cu 0.000 0.000 4.026
Cu 1.332 2.098 4.026
Ru 0.000 2.098 6.267
Ru 1.332 0.000 6.267
```

=====

# 7
Here is a PBEsol-optimized structure of Co2CuRu from Alexandria. Energies are from SCAN.

Fermi-level density of states ... 11.5 states/eV/cell
Final energy ... -335.4 eV for the cell shown
Formation enthalpy at 0 K ... 0.20 eV/atom
Space-group type ... Fm-3m, No. 225
Size of the total moment ... 20.7 μB per cell

```
16
Lattice="5.701 0.000 0.000 0.000 5.701 0.000 0.000 0.000 5.701" Properties=species:S:1:pos:R:3 pbc="T T T"
Co 1.425 1.425 1.425
Co 1.425 1.425 4.276
Co 1.425 4.276 1.425
Co 1.425 4.276 4.276
Co 4.276 1.425 1.425
Co 4.276 1.425 4.276
Co 4.276 4.276 1.425
Co 4.276 4.276 4.276
Cu 0.000 0.000 0.000
Cu 0.000 2.851 2.851
Cu 2.851 0.000 2.851
Cu 2.851 2.851 0.000
Ru 0.000 0.000 2.851
Ru 0.000 2.851 0.000
Ru 2.851 0.000 0.000
Ru 2.851 2.851 2.851
```

=====

# 8
Here is a PBEsol-optimized structure of Co2CuRu from Alexandria. Energies are from SCAN.

Fermi-level density of states ... 11.2 states/eV/cell
Final energy ... -251.4 eV for the cell shown
Formation enthalpy at 0 K ... 0.21 eV/atom
Space-group type ... R3m, No. 160
Size of the total moment ... 12.2 μB per cell

```
12
Lattice="2.549 0.000 0.000 -1.275 2.208 0.000 0.000 0.000 24.600" Properties=species:S:1:pos:R:3 pbc="T T T"
Co 0.000 0.000 0.000
Co 0.000 0.000 6.292
Co 0.000 1.472 16.400
Co 0.000 1.472 22.692
Co 1.275 0.736 8.200
Co 1.275 0.736 14.492
Cu 0.000 0.000 18.445
Cu 0.000 1.472 10.245
Cu 1.275 0.736 2.045
Ru 0.000 0.000 12.443
Ru 0.000 1.472 4.243
Ru 1.275 0.736 20.643
```

=====

# 9
Here is a PBEsol-optimized structure of CoCuRu2 from Alexandria. Energies are from SCAN.

Fermi-level density of states ... 2.8 states/eV/cell
Final energy ... -101.3 eV for the cell shown
Formation enthalpy at 0 K ... 0.20 eV/atom
Space-group type ... Pmm2, No. 25
Size of the total moment ... 1.9 μB per cell

```
4
Lattice="2.630 0.000 0.000 0.000 3.631 0.000 0.000 0.000 5.087" Properties=species:S:1:pos:R:3 pbc="T T T"
Co 0.000 0.000 0.000
Cu 1.315 1.815 1.168
Ru 0.000 0.000 2.505
Ru 1.315 1.815 3.761
```

=====

# 10
Here is a PBEsol-optimized structure of CoCuRu2 from Alexandria. Energies are from SCAN.

Fermi-level density of states ... 8.8 states/eV/cell
Final energy ... -201.5 eV for the cell shown
Formation enthalpy at 0 K ... 0.35 eV/atom
Space-group type ... Cmmm, No. 65
Size of the total moment ... 6.7 μB per cell

```
8
Lattice="5.121 0.000 0.000 0.000 7.388 0.000 0.000 0.000 2.553" Properties=species:S:1:pos:R:3 pbc="T T T"
Co 0.000 0.000 0.000
Co 2.560 3.694 0.000
Cu 0.000 3.694 0.000
Cu 2.560 0.000 0.000
Ru 1.280 1.847 1.277
Ru 1.280 5.541 1.277
Ru 3.840 1.847 1.277
Ru 3.840 5.541 1.277
```

=====

# 11
Here is a PBEsol-optimized structure of CoCuRu2 from Alexandria. Energies are from SCAN.

Fermi-level density of states ... 10.9 states/eV/cell
Final energy ... -303.8 eV for the cell shown
Formation enthalpy at 0 K ... 0.23 eV/atom
Space-group type ... R3m, No. 160
Size of the total moment ... 6.2 μB per cell

```
12
Lattice="2.614 0.000 0.000 -1.307 2.263 0.000 0.000 0.000 25.018" Properties=species:S:1:pos:R:3 pbc="T T T"
Co 0.000 0.000 0.000
Co 0.000 1.509 16.679
Co 1.307 0.754 8.339
Cu 0.000 0.000 18.682
Cu 0.000 1.509 10.343
Cu 1.307 0.754 2.003
Ru 0.000 0.000 6.305
Ru 0.000 0.000 12.518
Ru 0.000 1.509 4.179
Ru 0.000 1.509 22.983
Ru 1.307 0.754 14.644
Ru 1.307 0.754 20.857
```

=====

# 12
Here is a PBEsol-optimized structure of Co2CuRu from Alexandria. Energies are from SCAN.

Fermi-level density of states ... 11.0 states/eV/cell
Final energy ... -251.1 eV for the cell shown
Formation enthalpy at 0 K ... 0.23 eV/atom
Space-group type ... R-3m, No. 166
Size of the total moment ... 11.8 μB per cell

```
12
Lattice="2.549 0.000 0.000 -1.274 2.207 0.000 0.000 0.000 24.459" Properties=species:S:1:pos:R:3 pbc="T T T"
Co 0.000 0.000 6.118
Co 0.000 0.000 18.341
Co 0.000 1.472 10.188
Co 0.000 1.472 22.424
Co 1.274 0.736 2.035
Co 1.274 0.736 14.271
Cu 0.000 0.000 0.000
Cu 0.000 1.472 16.306
Cu 1.274 0.736 8.153
Ru 0.000 0.000 12.230
Ru 0.000 1.472 4.077
Ru 1.274 0.736 20.383
```

=====

# 13
Here is a PBEsol-optimized structure of Co2CuRu from Alexandria. Energies are from SCAN.

Fermi-level density of states ... 6.9 states/eV/cell
Final energy ... -167.3 eV for the cell shown
Formation enthalpy at 0 K ... 0.25 eV/atom
Space-group type ... C2/m, No. 12
Size of the total moment ... 8.9 μB per cell

```
8
Lattice="8.337 0.000 0.000 0.000 2.523 0.000 -0.725 0.000 4.325" Properties=species:S:1:pos:R:3 pbc="T T T"
Co 1.894 0.000 1.061
Co 1.549 1.262 3.263
Co 6.063 1.262 1.061
Co 5.718 0.000 3.263
Cu -0.363 0.000 2.162
Cu 3.806 1.262 2.162
Ru 0.000 1.262 0.000
Ru 4.169 0.000 0.000
```

=====

# 14
Here is a PBEsol-optimized structure of CoCuRu2 from Alexandria. Energies are from SCAN.

Fermi-level density of states ... 16.6 states/eV/cell
Final energy ... -403.4 eV for the cell shown
Formation enthalpy at 0 K ... 0.33 eV/atom
Space-group type ... Fm-3m, No. 225
Size of the total moment ... 10.8 μB per cell

```
16
Lattice="5.793 0.000 0.000 0.000 5.793 0.000 0.000 0.000 5.793" Properties=species:S:1:pos:R:3 pbc="T T T"
Co 0.000 0.000 0.000
Co 0.000 2.897 2.897
Co 2.897 0.000 2.897
Co 2.897 2.897 0.000
Cu 0.000 0.000 2.897
Cu 0.000 2.897 0.000
Cu 2.897 0.000 0.000
Cu 2.897 2.897 2.897
Ru 1.448 1.448 1.448
Ru 1.448 1.448 4.345
Ru 1.448 4.345 1.448
Ru 1.448 4.345 4.345
Ru 4.345 1.448 1.448
Ru 4.345 1.448 4.345
Ru 4.345 4.345 1.448
Ru 4.345 4.345 4.345
```

=====

no.,volume (Å³/cell)
1,47
2,142
3,83
4,46
5,48
6,94
7,185
8,138
9,49
10,97
11,148
12,138
13,91
14,194